# TlNi2Pt (PBE, relaxed)
data_TlNi2Pt
_chemical_formula_sum 'Tl4 Ni8 Pt4'
_symmetry_space_group_name_H-M 'I -4 2 d'
_symmetry_Int_Tables_number 122
_symmetry_space_group_name_Hall 'I -4 2bw'
_cell_length_a 3.908
_cell_length_b 3.908
_cell_length_c 17.963
_cell_angle_alpha 90.00
_cell_angle_beta 90.00
_cell_angle_gamma 90.00
loop_
_atom_site_label
_atom_site_fract_x
_atom_site_fract_y
_atom_site_fract_z
_atom_site_occupancy
Tl1 0.000 0.000 0.000 1
Ni1 0.189 0.250 0.625 1
Pt1 0.000 0.000 0.500 1
# * total DFT energy (no corrections): -4.586 eV/atom
# * energy of formation from the pure elements: 0.41 eV/atom
# * calculated volume: 68.60 Å³/f.u.